1.
Ba3TmRu2O9 | GGA-PBEsol | relaxed

Lattice parameters (Å, degrees): 5.835 5.835 14.279 90.00 90.00 120.00
Each line ends with the local moment (μB).
Fractional coordinates of all 30 atoms:
Ba  0.333  0.667  0.407  0.01
Ba  0.667  0.333  0.593  0.01
Ba  0.667  0.333  0.907  0.01
Ba  0.333  0.667  0.093  0.01
Ba  0.000  0.000  0.250  0.01
Ba  0.000  0.000  0.750  0.01
Tm  0.000  0.000  0.500  -0.02
Tm  0.000  0.000  0.000  -0.02
Ru  0.333  0.667  0.836  0.94
Ru  0.667  0.333  0.164  0.94
Ru  0.667  0.333  0.336  0.94
Ru  0.333  0.667  0.664  0.94
O  0.982  0.491  0.250  0.10
O  0.018  0.509  0.750  0.10
O  0.509  0.018  0.250  0.10
O  0.491  0.982  0.750  0.10
O  0.509  0.491  0.250  0.10
O  0.491  0.509  0.750  0.10
O  0.649  0.824  0.913  0.08
O  0.351  0.176  0.087  0.08
O  0.176  0.351  0.913  0.08
O  0.351  0.176  0.413  0.08
O  0.824  0.649  0.087  0.08
O  0.649  0.824  0.587  0.08
O  0.176  0.824  0.913  0.08
O  0.824  0.649  0.413  0.08
O  0.824  0.176  0.087  0.08
O  0.176  0.351  0.587  0.08
O  0.824  0.176  0.413  0.08
O  0.176  0.824  0.587  0.08

Values from the calculation:
ΔE_f (raw) ... -223 kJ per mole of atoms

---

2.
Ba3YRu2O9 | GGA-PBEsol | relaxed

Lattice parameters (Å, degrees): 5.858 5.858 14.359 90.00 90.00 120.00
Each line ends with the local moment (μB).
Fractional coordinates of all 30 atoms:
Ba  0.333  0.667  0.905  0.01
Ba  0.667  0.333  0.405  0.01
Ba  0.667  0.333  0.095  0.01
Ba  0.333  0.667  0.595  0.01
Ba  0.000  0.000  0.750  0.01
Ba  0.000  0.000  0.250  0.01
Y  0.000  0.000  0.500  -0.01
Y  0.000  0.000  0.000  -0.01
Ru  0.667  0.333  0.835  0.95
Ru  0.333  0.667  0.335  0.95
Ru  0.667  0.333  0.665  0.95
Ru  0.333  0.667  0.165  0.95
O  0.177  0.823  0.412  0.08
O  0.647  0.823  0.412  0.08
O  0.177  0.353  0.412  0.08
O  0.823  0.647  0.912  0.08
O  0.353  0.177  0.588  0.08
O  0.823  0.177  0.912  0.08
O  0.353  0.177  0.912  0.08
O  0.177  0.823  0.088  0.08
O  0.177  0.353  0.088  0.08
O  0.823  0.647  0.588  0.08
O  0.823  0.177  0.588  0.08
O  0.647  0.823  0.088  0.08
O  0.018  0.509  0.250  0.10
O  0.509  0.491  0.750  0.10
O  0.509  0.018  0.750  0.10
O  0.491  0.982  0.250  0.10
O  0.491  0.509  0.250  0.10
O  0.982  0.491  0.750  0.10

Values from the calculation:
ΔE_f (raw) ... -221 kJ per mole of atoms

---

3.
Ba3ZnRu2O9 | GGA-PBEsol | relaxed

Lattice parameters (Å, degrees): 5.758 5.758 14.165 90.00 90.00 120.00
Each line ends with the local moment (μB).
Fractional coordinates of all 30 atoms:
Ba  0.333  0.667  0.910  0.02
Ba  0.667  0.333  0.410  0.02
Ba  0.667  0.333  0.090  0.02
Ba  0.333  0.667  0.590  0.02
Ba  0.000  0.000  0.750  0.02
Ba  0.000  0.000  0.250  0.02
Zn  0.000  0.000  0.500  0.01
Zn  0.000  0.000  0.000  0.01
Ru  0.667  0.333  0.846  1.81
Ru  0.333  0.667  0.346  1.81
Ru  0.667  0.333  0.654  1.81
Ru  0.333  0.667  0.154  1.81
O  0.171  0.829  0.416  0.22
O  0.658  0.829  0.416  0.22
O  0.171  0.342  0.416  0.22
O  0.829  0.658  0.916  0.22
O  0.342  0.171  0.584  0.22
O  0.829  0.171  0.916  0.22
O  0.342  0.171  0.916  0.22
O  0.171  0.829  0.084  0.22
O  0.171  0.342  0.084  0.22
O  0.829  0.658  0.584  0.22
O  0.829  0.171  0.584  0.22
O  0.658  0.829  0.084  0.22
O  0.031  0.515  0.250  0.09
O  0.515  0.485  0.750  0.09
O  0.515  0.031  0.750  0.09
O  0.485  0.969  0.250  0.09
O  0.485  0.515  0.250  0.09
O  0.969  0.485  0.750  0.09

Values from the calculation:
ΔE_f (raw) ... -180 kJ per mole of atoms

---

4.
Ba3ZrRu2O9 | GGA-PBEsol | relaxed

Lattice parameters (Å, degrees): 5.768 5.768 14.251 90.00 90.00 120.00
Fractional coordinates of all 30 atoms:
Ba  0.333  0.667  0.593
Ba  0.667  0.333  0.407
Ba  0.667  0.333  0.093
Ba  0.333  0.667  0.907
Ba  0.000  0.000  0.250
Ba  0.000  0.000  0.750
Zr  0.000  0.000  0.000
Zr  0.000  0.000  0.500
Ru  0.333  0.667  0.163
Ru  0.667  0.333  0.663
Ru  0.333  0.667  0.337
Ru  0.667  0.333  0.837
O  0.171  0.342  0.083
O  0.829  0.658  0.917
O  0.490  0.510  0.250
O  0.829  0.658  0.583
O  0.342  0.171  0.583
O  0.979  0.490  0.750
O  0.658  0.829  0.417
O  0.171  0.829  0.417
O  0.658  0.829  0.083
O  0.490  0.979  0.250
O  0.510  0.021  0.750
O  0.171  0.342  0.417
O  0.510  0.490  0.750
O  0.021  0.510  0.250
O  0.342  0.171  0.917
O  0.829  0.171  0.917
O  0.829  0.171  0.583
O  0.171  0.829  0.083

Values from the calculation:
ΔE_f (raw) ... -227 kJ per mole of atoms

---

5.
Ba4ZrRu3O12 | GGA-PBEsol | relaxed

Lattice parameters (Å, degrees): 5.775 5.775 10.153 73.48 73.48 60.00
Each line ends with the local moment (μB).
Fractional coordinates of all 20 atoms:
Ba  0.287  0.287  0.140  0.00
Ba  0.713  0.713  0.860  0.00
Ba  0.129  0.129  0.614  0.01
Ba  0.871  0.871  0.386  0.01
Zr  0.000  0.000  0.000  -0.02
Ru  0.587  0.587  0.238  0.90
Ru  0.500  0.500  0.500  0.27
Ru  0.413  0.413  0.762  0.90
O  0.789  0.789  0.123  0.07
O  0.300  0.789  0.123  0.07
O  0.789  0.300  0.123  0.07
O  0.211  0.700  0.877  0.07
O  0.211  0.211  0.877  0.07
O  0.700  0.211  0.877  0.07
O  0.612  0.612  0.630  0.07
O  0.145  0.612  0.630  0.07
O  0.855  0.388  0.370  0.07
O  0.388  0.388  0.370  0.07
O  0.388  0.855  0.370  0.07
O  0.612  0.145  0.630  0.07

Values from the calculation:
ΔE_f (raw) ... -215 kJ per mole of atoms

---

6.
BaSO4 | GGA-PBEsol | relaxed

Lattice parameters (Å, degrees): 5.427 7.150 8.883 90.00 90.00 90.00
Fractional coordinates of all 24 atoms:
Ba  0.750  0.907  0.315
Ba  0.250  0.407  0.185
Ba  0.750  0.093  0.815
Ba  0.250  0.593  0.685
S  0.750  0.441  0.438
S  0.250  0.941  0.062
S  0.750  0.559  0.938
S  0.250  0.059  0.562
O  0.750  0.359  0.590
O  0.250  0.859  0.910
O  0.750  0.641  0.090
O  0.250  0.141  0.410
O  0.750  0.298  0.317
O  0.250  0.798  0.183
O  0.750  0.702  0.817
O  0.250  0.202  0.683
O  0.473  0.938  0.581
O  0.527  0.438  0.919
O  0.027  0.062  0.081
O  0.973  0.562  0.419
O  0.527  0.562  0.419
O  0.473  0.062  0.081
O  0.973  0.438  0.919
O  0.027  0.938  0.581

Values from the calculation:
ΔE_f (raw) ... -221 kJ per mole of atoms

---

7.
Ba3Sb2O6 | GGA-PBEsol | relaxed

Lattice parameters (Å, degrees): 6.161 9.768 12.086 105.43 90.53 108.12
Fractional coordinates of all 33 atoms:
Sb  0.951  0.897  0.119
Sb  0.049  0.103  0.881
Sb  0.235  0.493  0.078
Sb  0.765  0.507  0.922
Sb  0.314  0.662  0.491
Sb  0.686  0.338  0.509
Ba  0.000  0.000  0.500
Ba  0.149  0.275  0.286
Ba  0.851  0.725  0.714
Ba  0.484  0.967  0.299
Ba  0.516  0.033  0.701
Ba  0.777  0.602  0.296
Ba  0.223  0.398  0.704
Ba  0.610  0.208  0.058
Ba  0.390  0.792  0.942
O  0.790  0.046  0.154
O  0.210  0.954  0.846
O  0.265  0.037  0.136
O  0.735  0.963  0.864
O  0.976  0.886  0.279
O  0.024  0.114  0.721
O  0.988  0.434  0.177
O  0.012  0.566  0.823
O  0.434  0.416  0.155
O  0.566  0.584  0.845
O  0.381  0.709  0.150
O  0.619  0.291  0.850
O  0.063  0.747  0.513
O  0.937  0.253  0.487
O  0.396  0.678  0.651
O  0.604  0.322  0.349
O  0.562  0.838  0.477
O  0.438  0.162  0.523

Values from the calculation:
ΔE_f (raw) ... -211 kJ per mole of atoms

---

8.
Ba3SrSb2O9 | GGA-PBEsol | relaxed

Lattice parameters (Å, degrees): 6.075 6.104 15.200 90.68 92.13 119.54
Fractional coordinates of all 30 atoms:
Ba  0.309  0.643  0.409
Ba  0.691  0.357  0.591
Ba  0.651  0.330  0.901
Ba  0.979  0.997  0.251
Ba  0.021  0.003  0.749
Ba  0.349  0.670  0.099
Sr  0.000  0.000  0.000
Sr  0.000  0.000  0.500
Sb  0.300  0.641  0.844
Sb  0.638  0.309  0.343
Sb  0.362  0.691  0.657
Sb  0.700  0.359  0.156
O  0.197  0.409  0.571
O  0.882  0.207  0.104
O  0.271  0.912  0.593
O  0.803  0.591  0.429
O  0.569  0.749  0.935
O  0.454  0.497  0.755
O  0.915  0.692  0.110
O  0.431  0.251  0.065
O  0.085  0.308  0.890
O  0.697  0.821  0.611
O  0.118  0.793  0.896
O  0.048  0.545  0.731
O  0.546  0.503  0.245
O  0.952  0.455  0.269
O  0.729  0.088  0.407
O  0.303  0.179  0.389
O  0.503  0.053  0.234
O  0.497  0.947  0.766

Values from the calculation:
ΔE_f (raw) ... -226 kJ per mole of atoms

---

9.
Ba4Sr2Y3Sb3O18 | GGA-PBEsol | relaxed

Lattice parameters (Å, degrees): 5.915 5.902 13.239 102.78 103.14 90.25
Fractional coordinates of all 30 atoms:
Ba  0.250  0.250  0.000
Ba  0.917  0.918  0.335
Ba  0.580  0.582  0.666
Ba  0.748  0.752  0.999
Sr  0.427  0.407  0.330
Sr  0.089  0.077  0.666
Y  0.165  0.665  0.832
Y  0.835  0.336  0.168
Y  0.500  0.998  0.500
Sb  0.001  0.500  0.500
Sb  0.665  0.165  0.832
Sb  0.334  0.836  0.168
O  0.882  0.907  0.833
O  0.551  0.579  0.173
O  0.205  0.231  0.507
O  0.106  0.615  0.658
O  0.768  0.268  0.991
O  0.434  0.951  0.326
O  0.801  0.774  0.504
O  0.448  0.424  0.833
O  0.120  0.097  0.169
O  0.547  0.063  0.674
O  0.233  0.735  0.009
O  0.883  0.400  0.342
O  0.583  0.047  0.153
O  0.264  0.684  0.477
O  0.918  0.365  0.812
O  0.415  0.955  0.847
O  0.088  0.622  0.183
O  0.742  0.298  0.514

Values from the calculation:
ΔE_f (raw) ... -263 kJ per mole of atoms

---

10.
Ba2TbSbO6 | GGA-PBEsol | relaxed

Lattice parameters (Å, degrees): 5.967 5.967 5.967 60.00 60.00 60.00
Fractional coordinates of all 10 atoms:
Sb  0.000  0.000  0.000
Tb  0.500  0.500  0.500
Ba  0.250  0.250  0.250
Ba  0.750  0.750  0.750
O  0.237  0.763  0.237
O  0.763  0.237  0.763
O  0.763  0.763  0.237
O  0.237  0.237  0.763
O  0.237  0.763  0.763
O  0.763  0.237  0.237

Values from the calculation:
ΔE_f (raw) ... -263 kJ per mole of atoms

---

11.
Ba2YSbO6 | GGA-PBEsol | relaxed

Lattice parameters (Å, degrees): 5.950 5.950 5.950 60.00 60.00 60.00
Fractional coordinates of all 10 atoms:
Y  0.000  0.000  0.000
Sb  0.500  0.500  0.500
Ba  0.250  0.250  0.250
Ba  0.750  0.750  0.750
O  0.262  0.738  0.262
O  0.738  0.262  0.738
O  0.738  0.738  0.262
O  0.262  0.262  0.738
O  0.262  0.738  0.738
O  0.738  0.262  0.262

Values from the calculation:
ΔE_f (raw) ... -264 kJ per mole of atoms

---

12.
Ba2YSbO6 | GGA-PBEsol | relaxed

Lattice parameters (Å, degrees): 6.505 6.505 6.505 60.00 60.00 60.00
Fractional coordinates of all 10 atoms:
Ba  0.750  0.750  0.750
Ba  0.250  0.250  0.250
O  0.000  0.500  0.500
O  0.500  0.000  0.000
O  0.000  0.000  0.500
O  0.500  0.500  0.000
O  0.500  0.000  0.500
O  0.000  0.500  0.000
Sb  0.500  0.500  0.500
Y  0.000  0.000  0.000

Values from the calculation:
ΔE_f (raw) ... -55 kJ per mole of atoms